A plane-wave DFT calculation with PBE-GGA was carried out for crystalline MnCoPt2 at its relaxed geometry.

```
MnCoPt2
1.0
1.381 0.797 8.693
-1.381 0.797 8.693
0.000 -1.594 8.693
Mn Co Pt
1 1 2
direct
0.000 0.000 0.000
0.500 0.500 0.500
0.249 0.249 0.249
0.751 0.751 0.751
```

Computed properties:
* crystal system: trigonal
* total magnetic moment: 6.29 μB per formula unit
* energy relative to the elements: -0.10 eV/atom
* SG: R-3m